[1]
First-principles (PBE) data for a relaxed structure of Zr3AgHg, as listed in Alexandria via LeMat-Bulk.

Structure (POSCAR):
```
Zr3AgHg
1.0
5.1365 0.0000 0.0000
0.0000 5.1365 0.0000
0.0000 0.0000 5.1365
Ag Hg Zr
1 1 3
Cartesian
0.0000 0.0000 0.0000
2.5682 2.5682 2.5682
0.0000 2.5682 0.0000
2.5682 0.0000 0.0000
0.0000 0.0000 2.5682
```

Computed properties:
crystal system = cubic
energy relative to the lowest polymorph listed for this composition = 18.37 kcal/mol of atoms
E_form = 19.7 kcal/mol of atoms
calculated total energy = -4.9042 eV per atom
symmetry = Pm-3m, No. 221

[2]
First-principles (PBE) data for a relaxed structure of VCo2Ni, as listed in Alexandria via LeMat-Bulk.

Structure (POSCAR):
```
VCo2Ni
1.0
-2.8187 -0.1802 0.8812
0.1922 -2.9525 0.0112
1.5329 0.1184 4.9277
Co V Ni
2 1 1
Cartesian
0.3843 0.0297 1.2353
1.1487 0.0888 3.6924
-1.3132 -1.5663 0.4462
-0.5468 -1.5071 2.9100
```

Computed properties:
crystal system = tetragonal
E_form = -0.8 kcal/mol of atoms
calculated total energy = -7.3114 eV per atom
symmetry = P4/mmm, No. 123

[3]
First-principles (PBE) data for a relaxed structure of YBe8, as listed in Alexandria via LeMat-Bulk.

Structure (POSCAR):
```
YBe8
1.0
-3.7418 3.7418 1.7915
3.7418 -3.7418 1.7915
3.7418 3.7418 -1.7915
Be Y
8 1
Cartesian
4.7954 0.0000 0.0000
0.0000 4.7954 0.0000
2.2579 2.2579 0.0000
1.4838 1.4838 1.7915
2.6882 0.0000 0.0000
0.0000 2.6882 0.0000
1.4838 -1.4838 1.7915
-1.4838 1.4838 1.7915
0.0000 0.0000 0.0000
```

Computed properties:
crystal system = tetragonal
E_form = 6.1 kcal/mol of atoms
calculated total energy = -3.7650 eV per atom
symmetry = I4/mmm, No. 139

[4]
First-principles (PBE) data for a relaxed structure of Tc2AgW, as listed in Alexandria via LeMat-Bulk.

Structure (POSCAR):
```
Tc2AgW
1.0
-4.2788 -1.1587 -2.8087
-3.6132 -3.0674 2.2529
2.6534 4.5077 0.4248
Tc W Ag
2 1 1
Cartesian
-2.7386 0.6432 -1.3276
-7.7555 -4.1529 -0.5462
-4.0972 -2.1940 -0.2885
-2.4856 -0.3538 1.1977
```

Computed properties:
crystal system = orthorhombic
energy relative to the lowest polymorph listed for this composition = 4.63 kcal/mol of atoms
E_form = 11.4 kcal/mol of atoms
calculated total energy = -8.6391 eV per atom
symmetry = Imm2, No. 44

[5]
First-principles (PBE) data for a relaxed structure of LiPaSnMo, as listed in Alexandria via LeMat-Bulk.

Structure (POSCAR):
```
LiPaSnMo
1.0
4.7935 0.0000 0.0000
2.3968 4.1513 0.0000
2.3968 1.3838 3.9139
Sn Mo Li Pa
1 1 1 1
Cartesian
2.3968 1.3838 0.9785
4.7935 2.7675 1.9570
0.0000 0.0000 0.0000
7.1903 4.1513 2.9354
```

Computed properties:
crystal system = cubic
E_form = 1.0 kcal/mol of atoms
calculated total energy = -6.5188 eV per atom
symmetry = F-43m, No. 216

[6]
First-principles (PBE) data for a relaxed structure of Tb2Cu3Ge4, as listed in Alexandria via LeMat-Bulk.

Structure (POSCAR):
```
Tb2Cu3Ge4
1.0
5.6925 0.0000 0.0000
0.0000 7.4803 0.0000
-2.8462 0.0000 7.4015
Ge Cu Tb
8 6 4
Cartesian
1.4231 5.6103 6.5973
2.8462 3.9463 2.6885
0.0000 7.2742 2.6885
4.2694 1.8701 0.8042
-1.4231 5.6103 6.5973
2.8462 0.2061 4.7131
1.4231 1.8701 0.8042
0.0000 3.5341 4.7131
1.4231 1.8701 3.2717
2.8462 3.7402 0.0000
1.4231 5.6103 4.1298
0.0000 0.0000 0.0000
4.2693 1.8701 3.2717
-1.4231 5.6103 4.1298
0.0000 4.4305 1.6560
0.0000 0.6903 5.7455
2.8462 6.7900 1.6560
2.8462 3.0498 5.7455
```

Computed properties:
crystal system = orthorhombic
E_form = -10.3 kcal/mol of atoms
calculated total energy = -4.8948 eV per atom
symmetry = Cmce, No. 64

[7]
First-principles (PBE) data for a relaxed structure of AgW2Br, as listed in Alexandria via LeMat-Bulk.

Structure (POSCAR):
```
AgW2Br
1.0
5.6155 -0.0276 0.0000
2.9805 4.7594 0.0000
-4.2980 -2.3659 2.7321
W Ag Br
2 1 1
Cartesian
4.2980 2.3659 0.0000
0.0000 0.0000 0.0000
1.4902 2.3797 1.3661
2.8078 -0.0138 1.3661
```

Computed properties:
crystal system = tetragonal
energy relative to the lowest polymorph listed for this composition = 20.96 kcal/mol of atoms
calculated total energy = -6.2021 eV per atom
symmetry = I4/mmm, No. 139
uncorrected formation energy = 32.411 kcal/mol of atoms

[8]
First-principles (PBE) data for a relaxed structure of La8Ru3CI4, as listed in Alexandria via LeMat-Bulk.

Structure (POSCAR):
```
La8Ru3CI4
1.0
8.3387 0.0000 0.0000
0.0000 9.4739 0.7964
-4.1693 -4.1641 5.9001
La I C Ru
8 4 1 3
Cartesian
-2.1633 2.4047 6.1736
0.0000 4.5657 3.1138
4.1693 4.6587 3.2889
0.0000 0.6511 3.4077
4.1693 0.7441 3.5828
6.3326 2.9050 0.5229
2.1633 2.4047 6.1736
2.0061 2.9050 0.5229
4.1693 0.0000 0.0000
2.0847 -2.0821 2.9501
0.0000 0.0000 0.0000
-2.0847 -2.0821 2.9501
0.0000 4.7369 0.3982
2.0847 2.6549 3.3483
4.1693 4.7369 0.3982
-2.0847 2.6549 3.3483
```

Computed properties:
crystal system = trigonal
calculated total energy = -5.9335 eV per atom
symmetry = R-3m, No. 166
uncorrected formation energy = -17.676 kcal/mol of atoms

[9]
First-principles (PBE) data for a relaxed structure of Li2CdOs, as listed in Alexandria via LeMat-Bulk.

Structure (POSCAR):
```
Li2CdOs
1.0
-0.2527 2.1030 -3.9556
1.5132 -1.8097 -1.0588
-3.5453 -3.7657 -1.7755
Li Cd Os
2 1 1
Cartesian
0.2396 -0.3748 -0.2146
-0.9594 -0.0257 -2.4973
-1.5542 -3.2426 -4.1695
-1.0266 -2.6171 -1.3258
```

Computed properties:
crystal system = monoclinic
E_form = 5.0 kcal/mol of atoms
calculated total energy = -3.7779 eV per atom
symmetry = Pm, No. 6

[10]
First-principles (PBE) data for a relaxed structure of RbAg6Au6, as listed in Alexandria via LeMat-Bulk.

Structure (POSCAR):
```
RbAg6Au6
1.0
5.1512 0.0000 2.0589
2.5539 6.9281 1.0836
0.0044 -0.1075 7.4622
Ag Au Rb
6 6 1
Cartesian
3.4799 4.3964 6.2402
1.6451 4.4201 3.3574
1.9851 1.5533 2.5068
4.2296 2.4242 4.3645
0.9133 2.4005 5.1884
5.7245 5.2673 8.0980
0.0022 -0.0538 3.7311
3.1744 1.5326 7.0047
1.2770 3.4641 0.5418
2.5778 -0.0538 4.7606
3.8526 3.4641 1.5713
4.5352 5.2880 3.6001
0.0000 0.0000 0.0000
```

Computed properties:
crystal system = orthorhombic
E_form = -1.5 kcal/mol of atoms
calculated total energy = -2.9659 eV per atom
symmetry = Immm, No. 71

[11]
First-principles (PBE) data for a relaxed structure of La2DyP, as listed in Alexandria via LeMat-Bulk.

Structure (POSCAR):
```
La2DyP
1.0
-2.9913 0.7701 2.3701
-3.6452 -0.7000 -1.1753
-1.6133 -9.6292 4.2903
La Dy P
2 1 1
Cartesian
-6.4372 -3.1427 2.4903
-1.8126 -6.4165 2.9949
0.0000 0.0000 0.0000
-4.1249 -4.7796 2.7426
```

Computed properties:
crystal system = trigonal
E_form = -11.3 kcal/mol of atoms
calculated total energy = -5.4575 eV per atom
symmetry = R-3m, No. 166

[12]
First-principles (PBE) data for a relaxed structure of Ac2Nd3Y4, as listed in Alexandria via LeMat-Bulk.

Structure (POSCAR):
```
Ac2Nd3Y4
1.0
-1.0761 -3.7759 -4.6574
6.8438 -3.0586 4.8821
-5.3700 -2.2185 3.0393
Ac Y Nd
2 4 3
Cartesian
0.6574 -4.7411 3.6918
-0.2596 -4.3119 -0.4278
-3.9708 -4.1962 0.3358
4.3686 -4.8568 2.9282
2.3211 -2.3527 1.3711
-1.9233 -6.7003 1.8929
2.1443 -6.7862 1.0227
-1.7465 -2.2668 2.2413
0.0000 0.0000 0.0000
```

Computed properties:
crystal system = monoclinic
energy relative to the lowest polymorph listed for this composition = 0.66 kcal/mol of atoms
E_form = 2.5 kcal/mol of atoms
calculated total energy = -5.2683 eV per atom
symmetry = C2/m, No. 12